VASP calculation (GGA-PBE) on a relaxed Rb4LiZr3Te8 crystal.

extended XYZ file:
```
16
Lattice="7.4748 -4.3103 0.0000 7.4748 4.3103 0.0000 -4.9878 0.0000 8.5232" Properties=species:S:1:pos:R:3 pbc="T T T"
Rb 0.0000 0.0000 0.0000
Rb 3.7374 2.1551 0.0000
Rb 3.7374 -2.1551 0.0000
Rb 7.4748 0.0000 0.0000
Li -2.4939 0.0000 4.2616
Zr 1.2435 2.1551 4.2616
Zr 1.2435 -2.1551 4.2616
Zr 4.9809 0.0000 4.2616
Te 0.0453 0.0000 5.8798
Te 3.7120 2.1163 5.8770
Te 2.4910 0.0000 2.6018
Te 6.2497 2.1163 2.6461
Te 3.7120 -2.1163 5.8770
Te 7.4708 0.0000 5.9213
Te 6.2497 -2.1163 2.6461
Te 9.9164 0.0000 2.6434
```

Values from the calculation:
Energy   -71.918 eV for the cell shown
Space group   C2/m
Uncorrected formation energy   -960 meV per atom
Size of the total moment   0.00 Bohr magnetons per cell
Calculated density   4.97 g/cm³